# Cs5Rb5Ag2 | the Alexandria database | PBE | relaxed
# total magnetic moment	0.0	μB per cell
# DOS(E_F)	23.64	states/eV/cell
# calculated formation energy	0.033	eV/atom
data_Cs5Rb5Ag2
_chemical_formula_sum 'Cs10 Rb10 Ag4'
_symmetry_space_group_name_H-M 'C 1 2/m 1'
_symmetry_Int_Tables_number 12
_cell_length_a 17.256
_cell_length_b 5.285
_cell_length_c 22.591
_cell_angle_alpha 90.00
_cell_angle_beta 101.40
_cell_angle_gamma 90.00
loop_
_symmetry_equiv_pos_as_xyz
'x,y,z'
'-x,-y,-z'
'-x,y,-z'
'x,-y,z'
'x+1/2,y+1/2,z'
'-x+1/2,-y+1/2,-z'
'-x+1/2,y+1/2,-z'
'x+1/2,-y+1/2,z'
loop_
_atom_site_label
_atom_site_fract_x
_atom_site_fract_y
_atom_site_fract_z
Cs1 0.000 0.000 0.000
Cs2 0.098 0.500 0.202
Cs3 0.106 0.000 0.695
Rb1 0.000 0.500 0.500
Rb2 0.195 0.000 0.408
Rb3 0.197 0.500 0.903
Ag1 0.056 0.000 0.847